1.
First-principles (PBE-GGA) data for a relaxed structure of Zn4Cu2Ni5, as listed in Alexandria.

Cell lengths 4.4682, 4.4184, 8.1698 Å; angles 79.82, 123.27, 100.05 degrees
Last column: nearest neighbours and their distance in Å.
Atoms (fractional coordinates):
Zn  0.3303  0.1069  0.6404  2 Cu 2.49-2.65, 6 Ni 2.51-2.57, 4 Zn 2.63-2.69
Zn  0.8690  0.8034  0.7361  7 Ni 2.51-2.61, 2 Cu 2.55, 3 Zn 2.63-2.66
Zn  0.6697  0.8931  0.3596  2 Cu 2.49-2.65, 6 Ni 2.51-2.57, 4 Zn 2.63-2.69
Zn  0.1310  0.1966  0.2639  7 Ni 2.51-2.61, 2 Cu 2.55, 3 Zn 2.63-2.66
Cu  0.4109  0.5403  0.8229  4 Zn 2.49-2.65, 1 Cu 2.52, 7 Ni 2.54-2.61
Cu  0.5891  0.4597  0.1771  4 Zn 2.49-2.65, 1 Cu 2.52, 7 Ni 2.54-2.61
Ni  0.7746  0.3531  0.5447  7 Zn 2.53-2.61, 3 Ni 2.58-2.66, 2 Cu 2.59-2.61
Ni  0.2254  0.6469  0.4553  7 Zn 2.53-2.61, 3 Ni 2.58-2.66, 2 Cu 2.59-2.61
Ni  0.9588  0.2672  0.9102  4 Zn 2.51-2.55, 5 Ni 2.52-2.60, 3 Cu 2.54-2.60
Ni  0.5000  0.0000  0.0000  4 Cu 2.54-2.55, 4 Zn 2.55-2.57, 4 Ni 2.55-2.58
Ni  0.0412  0.7328  0.0898  4 Zn 2.51-2.55, 5 Ni 2.52-2.60, 3 Cu 2.54-2.60

Output
- E_form (meV/atom) = -119
- M_tot (μB per atom) = 0.00

***

2.
First-principles (PBE-GGA) data for a relaxed structure of MgMoPb2, as listed in Alexandria.

Cell lengths 9.3564, 9.3564, 9.3564 Å; angles 21.08, 21.08, 21.08 degrees
Last column: nearest neighbours and their distance in Å.
Atoms (fractional coordinates):
Mg  0.2500  0.2500  0.2500  6 Pb 3.16, 6 Mg 3.42
Mo  0.7500  0.7500  0.7500  6 Pb 2.89
Pb  0.0065  0.0065  0.0065  3 Mo 2.89, 3 Mg 3.16
Pb  0.4935  0.4935  0.4935  3 Mo 2.89, 3 Mg 3.16

Output
- E_form (meV/atom) = 442
- M_tot (μB per atom) = 0.00

***

3.
First-principles (PBE-GGA) data for a relaxed structure of YIrRh, as listed in Alexandria.

Cell lengths 4.4825, 4.4825, 4.4825 Å; angles 60.00, 60.00, 60.00 degrees
Last column: nearest neighbours and their distance in Å.
Atoms (fractional coordinates):
Ir  0.0000  0.0000  0.0000  4 Y 2.74
Rh  0.5000  0.5000  0.5000  4 Y 2.74
Y  0.7500  0.7500  0.7500  4 Rh 2.74, 4 Ir 2.74

Output
- excess energy over the best structure of this formula in the dataset (eV/f.u.) = 3.13
- E_form (meV/atom) = 274
- M_tot (μB per atom) = 0.00

***

4.
First-principles (PBE-GGA) data for a relaxed structure of ReHg2O6, as listed in Alexandria.

Cell lengths 5.0026, 5.0026, 10.2478 Å; angles 90.00, 90.00, 90.00 degrees
Last column: nearest neighbours and their distance in Å.
Atoms (fractional coordinates):
Re  0.0000  0.0000  0.0000  6 O 1.89-1.90
Re  0.5000  0.5000  0.5000  6 O 1.89-1.90
Hg  0.0000  0.0000  0.3385  6 O 2.27-2.43
Hg  0.5000  0.5000  0.8385  6 O 2.27-2.43
Hg  0.5000  0.5000  0.1615  6 O 2.27-2.43
Hg  0.0000  0.0000  0.6615  6 O 2.27-2.43
O  0.3186  0.3186  0.3628  1 Re 1.90
O  0.6814  0.6814  0.3628  1 Re 1.90
O  0.1814  0.8186  0.8628  1 Re 1.90
O  0.8186  0.1814  0.8628  1 Re 1.90
O  0.1814  0.8186  0.1372  1 Re 1.90
O  0.8186  0.1814  0.1372  1 Re 1.90
O  0.3186  0.3186  0.6372  1 Re 1.90
O  0.6814  0.6814  0.6372  1 Re 1.90
O  0.2677  0.2677  0.0000  1 Re 1.89
O  0.7323  0.7323  0.0000  1 Re 1.89
O  0.2323  0.7677  0.5000  1 Re 1.89
O  0.7677  0.2323  0.5000  1 Re 1.89

Output
- excess energy over the best structure of this formula in the dataset (eV/f.u.) = 0.00
- formation energy (no corrections) (eV per atom) = -0.6770
- M_tot (μB per atom) = 0.10

***

5.
First-principles (PBE-GGA) data for a relaxed structure of CeHfMg, as listed in Alexandria.

Cell lengths 3.1443, 3.1443, 8.4682 Å; angles 90.00, 90.00, 120.00 degrees
Last column: nearest neighbours and their distance in Å.
Atoms (fractional coordinates):
Mg  0.0000  0.0000  0.0142  6 Mg 3.14, 3 Hf 3.23
Hf  0.6667  0.3333  0.3298  6 Hf 3.14, 3 Mg 3.23, 3 Ce 3.31
Ce  0.3333  0.6667  0.6560  6 Ce 3.14, 3 Hf 3.31

Output
- excess energy over the best structure of this formula in the dataset (eV/f.u.) = 0.16
- E_form (meV/atom) = 112
- M_tot (μB per atom) = 0.00

***

6.
First-principles (PBE-GGA) data for a relaxed structure of PmTh2Ga2Cu2, as listed in Alexandria.

Cell lengths 4.3962, 4.3962, 9.7480 Å; angles 76.97, 76.97, 60.00 degrees
Last column: nearest neighbours and their distance in Å.
Atoms (fractional coordinates):
Pm  0.0000  0.0000  0.0000  6 Ga 3.17, 6 Cu 3.18
Th  0.1290  0.1290  0.6129  3 Cu 3.07, 3 Ga 3.08, 3 Th 3.31
Th  0.8710  0.8710  0.3871  3 Cu 3.07, 3 Ga 3.08, 3 Th 3.31
Ga  0.7339  0.7339  0.7982  3 Cu 2.54
Ga  0.2661  0.2661  0.2018  3 Cu 2.54
Cu  0.5990  0.5990  0.2029  3 Ga 2.54
Cu  0.4010  0.4010  0.7971  3 Ga 2.54

Output
- E_form (meV/atom) = -294
- M_tot (μB per atom) = 0.00

***

| no. | calculated volume (Å³/cell) |
| --- | --- |
| 1 | 132.14 |
| 2 | 92.78 |
| 3 | 63.69 |
| 4 | 256.46 |
| 5 | 72.51 |
| 6 | 157.53 |